First-principles (GGA-PBE) data for an optimized crystal structure of BaCa2AlIr, as listed in Alexandria.

Lattice parameters (Å, degrees): 5.586 5.586 4.972 90.00 90.00 90.00
Space group P4/mmm (No. 123)
One atom of each set of equivalent atoms:
1 Ba 0.000 0.000 0.000
2 Ca 0.000 0.500 0.500
3 Al 0.500 0.500 0.000
4 Ir 0.500 0.500 0.500

The calculation puts the density of states at the Fermi level at 4.2 states/eV/cell.

=====

First-principles (GGA-PBE) data for an optimized crystal structure of BaCaAlIr2, as listed in Alexandria.

Lattice parameters (Å, degrees): 4.789 4.789 5.236 90.00 90.00 90.00
Space group P4/mmm (No. 123)
One atom of each set of equivalent atoms:
1 Ba 0.000 0.000 0.000
2 Ca 0.500 0.500 0.000
3 Al 0.500 0.500 0.500
4 Ir 0.000 0.500 0.500

The calculation puts the density of states at the Fermi level at 2.4 states/eV/cell.

=====

no.,magnetic moment (μB/f.u.),ΔH_f (0 K) (eV/f.u.)
1,0.00,-1.4
2,0.00,1.0